No. 1
Material: TlPbCl3
Method: DFT, GGA-PBE
State: optimized geometry

Final energy in eV per atom: -2.774
Formation energy (no corrections) in meV/atom: -451
Space group: No. 221
Total magnetization in μB/f.u.: 0.6
Crystal system: cubic

Cell: 5.540 5.540 5.540 Å, 90.00 90.00 90.00°
Fractional positions:
Tl 0.000 0.000 0.000
Pb 0.500 0.500 0.500
Cl 0.000 0.000 0.500
Cl 0.000 0.500 0.000
Cl 0.500 0.000 0.000

No. 2
Material: GdTmLuOs
Method: DFT, GGA-PBE
State: optimized geometry

Formation energy in meV/atom: 78
Final energy in eV per atom: -8.497
Space group: No. 216
Total magnetization in μB/f.u.: 7.1
Crystal system: cubic

Cell: 5.078 5.078 5.078 Å, 60.00 60.00 60.00°
Fractional positions:
Gd 0.000 0.000 0.000
Tm 0.500 0.500 0.500
Lu 0.750 0.750 0.750
Os 0.250 0.250 0.250

No. 3
Material: InNiP2
Method: DFT, GGA-PBE
State: optimized geometry

Formation energy in meV/atom: 487
Final energy in eV per atom: -4.348
Space group: No. 123
Total magnetization in μB/f.u.: 0.0
Crystal system: tetragonal

Cell: 4.257 4.257 3.572 Å, 90.00 90.00 90.00°
Fractional positions:
In 0.000 0.000 0.000
Ni 0.500 0.500 0.000
P 0.000 0.500 0.500
P 0.500 0.000 0.500

No. 4
Material: CsCaC2
Method: DFT, GGA-PBE
State: optimized geometry

Formation energy in meV/atom: 1915
Final energy in eV per atom: -3.411
Energy relative to the lowest polymorph listed for this composition in meV/atom: 0
Space group: No. 141
Total magnetization in μB/f.u.: 1.0
Crystal system: tetragonal

Cell: 9.167 9.167 9.167 Å, 150.00 150.00 42.94°
Fractional positions:
Cs 0.375 0.625 0.750
Cs 0.625 0.375 0.250
Ca 0.125 0.875 0.250
Ca 0.875 0.125 0.750
C 0.000 0.000 0.000
C 0.000 0.000 0.500
C 0.000 0.500 0.000
C 0.500 0.000 0.500

No. 5
Material: Dy2Y3Ho
Method: DFT, GGA-PBE
State: optimized geometry

Formation energy in meV/atom: 120
Final energy in eV per atom: -5.410
Energy relative to the lowest polymorph listed for this composition in meV/atom: 96
Space group: No. 12
Total magnetization in μB/f.u.: 0.0
Crystal system: monoclinic

Cell: 9.035 9.035 14.156 Å, 116.94 116.94 22.34°
Fractional positions:
Dy 0.158 0.158 0.469
Dy 0.319 0.319 0.117
Dy 0.681 0.681 0.883
Dy 0.842 0.842 0.531
Y 0.099 0.099 0.025
Y 0.240 0.240 0.293
Y 0.462 0.462 0.785
Y 0.538 0.538 0.215
Y 0.760 0.760 0.707
Y 0.901 0.901 0.975
Ho 0.062 0.062 0.643
Ho 0.938 0.938 0.357

No. 6
Material: Co2Pt
Method: DFT, GGA-PBE
State: optimized geometry

Formation energy in meV/atom: -1
Final energy in eV per atom: -6.752
Space group: No. 164
Total magnetization in μB/f.u.: 3.8
Crystal system: trigonal

Cell: 2.658 2.658 6.317 Å, 90.00 90.00 120.00°
Fractional positions:
Co 0.333 0.667 0.149
Co 0.667 0.333 0.851
Pt 0.000 0.000 0.500